Entry 1:
Compound: PaSiCl
Source: the Alexandria database
Functional: GGA-PBE
Structure: optimized geometry

E in eV/atom: -6.63
Density in g/cm³: 6.49
E_form (uncorrected) in eV/atom: -1.0382
V in A^3/atom: 25.1

Geometry as POSCAR:
```
PaSiCl
1.0
4.013 0.001 0.104
2.004 3.477 0.104
-0.021 -0.012 10.808
Si Cl Pa
2 2 2
direct
0.333 0.333 0.498
0.667 0.667 0.502
0.319 0.319 0.834
0.681 0.681 0.166
0.007 0.007 0.333
0.993 0.993 0.667
```

Entry 2:
Compound: TbDy2Tm6
Source: the Alexandria database
Functional: GGA-PBE
Structure: optimized geometry

E in eV/atom: -4.41
Density in g/cm³: 8.98
Formation enthalpy at 0 K in eV/atom: 0.1052
V in A^3/atom: 30.8

Geometry as POSCAR:
```
TbDy2Tm6
1.0
6.452 -0.106 -0.102
1.618 9.245 -0.773
1.618 -0.473 9.265
Tm Tb Dy
12 2 4
direct
0.498 0.350 0.722
0.270 0.940 0.538
0.770 0.538 0.940
0.184 0.047 0.221
0.684 0.221 0.047
0.502 0.650 0.278
0.230 0.462 0.060
0.002 0.278 0.650
0.316 0.779 0.953
0.998 0.722 0.350
0.816 0.953 0.779
0.730 0.060 0.462
0.750 0.880 0.120
0.250 0.120 0.880
0.630 0.666 0.617
0.370 0.334 0.383
0.130 0.617 0.666
0.870 0.383 0.334
```

Entry 3:
Compound: ScTa2Cl
Source: the Alexandria database
Functional: GGA-PBE
Structure: optimized geometry

E in eV/atom: -7.45
Density in g/cm³: 9.69
E_form (uncorrected) in eV/atom: 0.5227
V in A^3/atom: 19.0

Geometry as POSCAR:
```
ScTa2Cl
1.0
5.021 -0.036 0.000
1.235 4.867 0.000
-3.128 -2.416 3.097
Cl Ta Sc
1 2 1
direct
0.500 0.500 0.000
0.250 0.750 0.500
0.000 0.000 0.000
0.750 0.250 0.500
```

E of number 1 (PaSiCl)?
-6.63 eV/atom

Number 3 is which compound?
ScTa2Cl